1.
! PBE La6TcPt2I3, relaxed; values from VASP
! * V: 394.14 Å³ per cell
! * N(E_F): 0.351 states/eV/atom
! * raw formation energy: -1.0276 eV per atom
! * magnetization: 0.000 μB/atom
! * space-group type: No. 12
&SYSTEM
  ibrav = 0, nat = 12, ntyp = 4
/
ATOMIC_SPECIES
Pt 195.08 Pt.upf
La 138.91 La.upf
I 126.90 I.upf
Tc 98.00 Tc.upf
ATOMIC_POSITIONS crystal
Pt 0.3332 0.6669 0.0000
La 0.3818 0.0625 0.1876
La 0.7430 0.7430 0.1877
La 0.2570 0.2570 0.8123
I 0.5000 0.5000 0.5000
Tc 0.0000 0.0000 0.0000
La 0.6182 0.9375 0.8124
Pt 0.6669 0.3332 0.0000
La 0.9375 0.6182 0.8124
I 0.1653 0.8347 0.5000
I 0.8347 0.1653 0.5000
La 0.0625 0.3818 0.1876
CELL_PARAMETERS angstrom
7.4243 -0.0017 0.0008
-3.7118 6.4298 0.0008
-1.2377 -2.1431 8.2571



2.
! PBE Tb2NpPaN4, relaxed; values from VASP
! * V: 120.12 Å³ per cell
! * N(E_F): 1.169 states/eV/atom
! * raw formation energy: -1.5149 eV per atom
! * magnetization: 0.455 μB/atom
! * space-group type: No. 10
&SYSTEM
  ibrav = 0, nat = 8, ntyp = 4
/
ATOMIC_SPECIES
Tb 158.93 Tb.upf
Pa 231.04 Pa.upf
N 14.01 N.upf
Np 237.00 Np.upf
ATOMIC_POSITIONS crystal
Tb 0.0000 0.5000 0.5000
Pa 0.5000 0.5000 0.0000
N 0.0000 0.2580 0.7616
Np 0.0000 0.0000 0.0000
N 0.5000 0.2476 0.2369
N 0.0000 0.7420 0.2384
N 0.5000 0.7524 0.7631
Tb 0.5000 0.0000 0.5000
CELL_PARAMETERS angstrom
-3.3840 0.7971 -0.2487
-0.9587 -2.3646 5.4651
1.3467 5.8872 0.5439



3.
! PBE NiAg2I6, relaxed; values from VASP
! * energy relative to the lowest polymorph listed for this composition: 12 meV per atom
! * V: 669.38 Å³ per cell
! * N(E_F): 0.496 states/eV/atom
! * raw formation energy: -0.0700 eV per atom
! * magnetization: 0.000 μB/atom
! * space-group type: No. 14
&SYSTEM
  ibrav = 0, nat = 18, ntyp = 3
/
ATOMIC_SPECIES
Ag 107.87 Ag.upf
I 126.90 I.upf
Ni 58.69 Ni.upf
ATOMIC_POSITIONS crystal
Ag 0.9210 0.4715 0.2020
I 0.5966 0.2083 0.8812
I 0.7060 0.1243 0.5229
Ni 0.0000 0.0000 0.5000
I 0.4034 0.7917 0.1188
I 0.9194 0.8500 0.2808
I 0.0806 0.1500 0.7192
Ni 0.5000 0.5000 0.0000
I 0.2060 0.3757 0.0229
I 0.7940 0.6243 0.9771
I 0.0966 0.2917 0.3812
Ag 0.0790 0.5285 0.7980
I 0.2940 0.8757 0.4771
I 0.5806 0.3500 0.2192
I 0.4194 0.6500 0.7808
I 0.9034 0.7083 0.6188
Ag 0.4210 0.0285 0.7020
Ag 0.5790 0.9715 0.2980
CELL_PARAMETERS angstrom
8.4084 0.0000 0.3521
0.0000 7.4695 0.0000
-0.4596 0.0000 10.6386



4.
! PBE ThZn, relaxed; values from VASP
! * V: 99.68 Å³ per cell
! * N(E_F): 1.393 states/eV/atom
! * magnetization: 0.000 μB/atom
! * space-group type: No. 11
! * energy of formation: -0.137 eV/atom
&SYSTEM
  ibrav = 0, nat = 4, ntyp = 2
/
ATOMIC_SPECIES
Zn 65.41 Zn.upf
Th 232.04 Th.upf
ATOMIC_POSITIONS crystal
Zn 0.0669 0.7500 0.1344
Th 0.6495 0.2500 0.3013
Th 0.3505 0.7500 0.6987
Zn 0.9331 0.2500 0.8656
CELL_PARAMETERS angstrom
4.3122 0.0000 -0.0052
0.0000 4.1202 0.0000
-2.1303 0.0000 5.6130